Entry 1:
12
Lattice="4.244 0.000 0.000 -2.122 6.932 -1.808 0.000 0.118 13.201" Properties=species:S:1:pos:R:3 comment="TbY4Te7 (GGA-PBE, optimized geometry)" n_ef_per_ev_cell=2.83 formation_energy_uncorrected_kj_per_mol_atoms=-134.1 pbc="T T T"
Te 2.122 3.409 3.746
Te 0.000 3.633 7.649
Te 0.000 0.622 10.210
Te 2.122 6.431 1.185
Te 0.000 4.823 11.339
Te 0.000 6.990 4.785
Te 2.122 2.233 0.053
Y 0.000 1.651 5.175
Y 0.000 4.170 1.378
Y 0.000 0.003 0.001
Y 2.122 2.883 10.017
Tb 2.122 5.398 6.217

---

Entry 2:
8
Lattice="-4.334 4.575 -0.833 -5.843 -0.876 1.337 -1.320 3.965 4.386" Properties=species:S:1:pos:R:3 comment="Na2MgGeS4 (GGA-PBE, optimized geometry)" n_ef_per_ev_cell=0.00 formation_energy_uncorrected_kj_per_mol_atoms=-92.0 pbc="T T T"
S -4.730 6.687 2.148
S -5.802 1.484 0.506
S -2.467 0.201 0.365
S -2.832 3.867 1.039
Na -3.581 1.544 2.862
Na -5.749 3.832 2.445
Ge -2.167 2.288 -0.416
Mg 0.000 0.000 0.000

---

Entry 3:
6
Lattice="2.183 -3.781 0.000 2.183 3.781 0.000 0.000 0.000 5.419" Properties=species:S:1:pos:R:3 comment="MoRh2 (GGA-PBE, optimized geometry)" n_ef_per_ev_cell=4.86 ef_kj_per_mol_atoms=-4.9 pbc="T T T"
Mo 2.183 -1.260 4.064
Mo 2.183 1.260 1.355
Rh 2.183 -1.260 1.355
Rh 0.000 0.000 2.709
Rh 0.000 0.000 0.000
Rh 2.183 1.260 4.064

---

Entry 4:
10
Lattice="0.000 4.282 4.282 4.282 0.000 4.282 4.282 4.282 0.000" Properties=species:S:1:pos:R:3 comment="BaCaTbSnO6 (GGA-PBE, optimized geometry)" polymorph_energy_mev_per_atom=75.7 n_ef_per_ev_cell=6.80 formation_energy_uncorrected_kj_per_mol_atoms=-229.8 pbc="T T T"
O 4.282 4.282 6.502
O 6.502 4.282 4.282
O 4.282 6.502 4.282
O 4.282 2.061 4.282
O 2.061 4.282 4.282
O 4.282 4.282 2.061
Tb 4.282 4.282 4.282
Sn 0.000 0.000 0.000
Ca 6.422 6.422 6.422
Ba 2.141 2.141 2.141

---

Entry 5:
18
Lattice="4.567 0.000 0.000 0.000 4.567 0.000 0.000 0.000 9.326" Properties=species:S:1:pos:R:3 comment="GaPdRhO6 (GGA-PBE, optimized geometry)" n_ef_per_ev_cell=11.10 formation_energy_uncorrected_kj_per_mol_atoms=-77.7 pbc="T T T"
O 3.152 3.152 6.230
O 0.868 3.699 1.567
O 3.683 0.885 7.791
O 0.896 3.671 4.631
O 3.699 0.868 1.567
O 3.671 0.896 4.631
O 3.180 3.180 9.294
O 1.387 1.387 9.294
O 1.416 1.416 6.230
O 3.169 3.169 3.128
O 0.885 3.683 7.791
O 1.399 1.399 3.128
Pd 2.284 2.284 1.546
Pd 0.000 0.000 6.209
Ga 0.000 0.000 3.108
Ga 2.284 2.284 7.771
Rh 2.284 2.284 4.675
Rh 0.000 0.000 0.012

---

Entry 6:
5
Lattice="5.066 0.000 0.000 0.000 5.066 0.000 0.000 0.000 5.066" Properties=species:S:1:pos:R:3 comment="TiHAu3 (GGA-PBE, optimized geometry)" polymorph_energy_mev_per_atom=892.4 n_ef_per_ev_cell=2.93 pbc="T T T"
H 2.533 2.533 2.533
Ti 0.000 0.000 0.000
Au 2.533 0.000 0.000
Au 0.000 2.533 0.000
Au 0.000 0.000 2.533

---

Entry 7:
12
Lattice="-0.178 -0.169 4.898 -5.399 -4.362 -0.347 6.075 -7.516 -0.039" Properties=species:S:1:pos:R:3 comment="Na2PuInSb2 (GGA-PBE, optimized geometry)" n_ef_per_ev_cell=20.90 formation_energy_uncorrected_kj_per_mol_atoms=-34.3 pbc="T T T"
Sb -3.137 -4.663 -0.275
Sb 3.556 -7.422 -0.127
Sb 0.645 -3.783 2.348
Sb -0.177 -8.288 2.163
Pu 0.560 -6.074 -0.189
Pu -2.447 -7.874 -0.361
In 2.918 -5.942 2.356
In -1.811 -5.612 2.196
Na 2.914 -9.668 2.228
Na 0.765 -9.857 -0.312
Na -0.704 -2.518 -0.112
Na -0.056 -0.471 2.437

---

Entry 8:
7
Lattice="-3.675 -3.923 -1.980 -3.409 -2.824 3.636 -8.104 3.567 -0.315" Properties=species:S:1:pos:R:3 comment="Pm2Sm2Dy2Y (GGA-PBE, optimized geometry)" n_ef_per_ev_cell=16.75 ef_kj_per_mol_atoms=12.9 pbc="T T T"
Sm -3.229 -1.371 0.421
Sm -11.959 -1.810 0.919
Dy -6.350 -2.851 0.858
Dy -8.839 -0.330 0.482
Pm -5.702 1.134 0.047
Pm -9.486 -4.315 1.293
Y 0.000 0.000 0.000